[1]
Cd12Cu3Hg5 | PBE | relaxed

Structure (POSCAR):
```
Cd12Cu3Hg5
1.0
14.2520 0.0000 0.0000
-4.7507 13.4369 0.0000
-4.7507 -6.7185 11.6367
Hg Cd Cu
20 48 12
Direct
0.0000 0.0000 0.5000
0.5000 0.0000 0.0000
0.6250 0.8750 0.2500
0.5000 0.5000 0.5000
0.2500 0.3750 0.6250
0.2500 0.8750 0.1250
0.7500 0.1250 0.8750
0.5000 0.5000 0.0000
0.5000 0.0000 0.5000
0.7500 0.6250 0.3750
0.0000 0.5000 0.5000
0.0000 0.0000 0.0000
0.3750 0.2500 0.1250
0.6250 0.7500 0.8750
0.3750 0.1250 0.7500
0.8750 0.6250 0.7500
0.8750 0.2500 0.6250
0.1250 0.3750 0.2500
0.0000 0.5000 0.0000
0.1250 0.7500 0.3750
0.0556 0.8878 0.1305
0.4444 0.3695 0.6122
0.3878 0.1305 0.5556
0.7426 0.1305 0.0748
0.8878 0.0556 0.6305
0.5556 0.6305 0.3878
0.1122 0.1678 0.2426
0.7574 0.4252 0.3695
0.8695 0.2574 0.4252
0.3695 0.9252 0.7574
0.2426 0.5748 0.6305
0.3322 0.5748 0.4444
0.6305 0.5556 0.8878
0.3695 0.4444 0.1122
0.1305 0.7426 0.5748
0.3878 0.2574 0.3322
0.6122 0.7426 0.6678
0.6678 0.4252 0.5556
0.5748 0.3322 0.9444
0.9444 0.1122 0.8695
0.2574 0.3878 0.8322
0.4252 0.6678 0.0556
0.2426 0.6678 0.1122
0.8878 0.8322 0.7574
0.9252 0.5556 0.1678
0.8695 0.6122 0.9444
0.3322 0.7574 0.3878
0.2574 0.8695 0.9252
0.6305 0.0748 0.2426
0.6678 0.2426 0.6122
0.1678 0.1122 0.7426
0.4252 0.7574 0.8695
0.5748 0.2426 0.1305
0.0556 0.1678 0.4252
0.5556 0.9252 0.6678
0.1122 0.9444 0.3695
0.0748 0.6305 0.7426
0.9444 0.8322 0.5748
0.6122 0.8695 0.4444
0.8322 0.9444 0.0748
0.7574 0.3322 0.8878
0.1678 0.0556 0.9252
0.7426 0.6122 0.1678
0.1305 0.3878 0.0556
0.8322 0.8878 0.2574
0.0748 0.4444 0.8322
0.9252 0.3695 0.2574
0.4444 0.0748 0.3322
0.1250 0.2500 0.8750
0.1250 0.8750 0.7500
0.7500 0.8750 0.6250
0.2500 0.1250 0.3750
0.6250 0.3750 0.7500
0.3750 0.7500 0.6250
0.6250 0.2500 0.3750
0.8750 0.1250 0.2500
0.3750 0.6250 0.2500
0.2500 0.6250 0.8750
0.8750 0.7500 0.1250
0.7500 0.3750 0.1250
```

Output
Total magnetic moment   0.000 Bohr magnetons per cell
Energy of formation from the pure elements   210 meV/atom

[2]
ThNiSb | PBE | relaxed

Structure (POSCAR):
```
ThNiSb
1.0
-3.6874 -0.5243 -1.6713
-1.2401 -1.9694 3.3539
1.1257 5.0727 0.9105
Ni Th Sb
1 1 1
Direct
0.2632 0.2632 0.5263
0.6204 0.6204 0.2407
0.9665 0.9665 0.9329
```

Output
Total magnetic moment   0.000 Bohr magnetons per cell
Raw formation energy   -0.232 eV per atom

[3]
Hf2AsPbF | PBE | relaxed

Structure (POSCAR):
```
Hf2AsPbF
1.0
5.4921 0.0000 0.0000
0.0000 4.3171 0.0000
0.0000 0.0000 5.4921
As F Hf Pb
1 1 2 1
Direct
0.5000 0.5000 0.5000
0.0000 0.5000 0.0000
0.0000 0.0000 0.5000
0.5000 0.0000 0.0000
0.0000 0.0000 0.0000
```

Output
Total magnetic moment   0.000 Bohr magnetons per cell
Raw formation energy   0.434 eV per atom

[4]
In2AsRh | PBE | relaxed

Structure (POSCAR):
```
In2AsRh
1.0
-4.1950 -2.9038 -1.4333
1.0287 -5.1902 0.2972
0.6360 4.0211 3.3929
In As Rh
2 1 1
Direct
0.2500 0.7500 0.5000
0.0000 0.0000 0.0000
0.7500 0.2500 0.5000
0.5000 0.5000 0.0000
```

Output
Total magnetic moment   0.000 Bohr magnetons per cell
Energy of formation from the pure elements   45 meV/atom

[5]
SnPbC3 | PBE | relaxed

Structure (POSCAR):
```
SnPbC3
1.0
-2.8711 -1.0761 3.1657
-2.5246 -2.0381 -2.9825
2.1922 -3.7564 0.7113
C Sn Pb
3 1 1
Direct
0.0000 0.0000 0.5000
0.5000 0.0000 0.0000
0.0000 0.5000 0.0000
0.0000 0.0000 0.0000
0.5000 0.5000 0.5000
```

Output
Excess energy over the best structure of this formula in the dataset   0 kJ/mol of formula units
Total magnetic moment   0.000 Bohr magnetons per cell
Energy of formation from the pure elements   2666 meV/atom

[6]
Ni2OsSe | PBE | relaxed

Structure (POSCAR):
```
Ni2OsSe
1.0
2.7005 -0.0472 0.0000
-1.2048 2.4173 0.0000
0.0000 0.0000 8.5041
Ni Se Os
2 1 1
Direct
0.0000 0.0000 0.4975
0.0000 0.0000 0.0025
0.5000 0.5000 0.7500
0.5000 0.5000 0.2500
```

Output
Total magnetic moment   0.000 Bohr magnetons per cell
Raw formation energy   0.461 eV per atom

[7]
Cs2InBr2Cl2 | PBE | relaxed

Structure (POSCAR):
```
Cs2InBr2Cl2
1.0
5.4753 0.0000 0.0000
0.0000 5.4753 0.0000
-2.7376 -2.7376 9.1731
Cl Br Cs In
2 2 2 1
Direct
0.5000 0.0000 0.0000
0.0000 0.5000 0.0000
0.1604 0.1604 0.3209
0.8396 0.8396 0.6791
0.3613 0.3613 0.7225
0.6387 0.6387 0.2775
0.0000 0.0000 0.0000
```

Output
Total magnetic moment   0.000 Bohr magnetons per cell
Raw formation energy   -1.478 eV per atom

[8]
Mg7Ga3 | PBE | relaxed

Structure (POSCAR):
```
Mg7Ga3
1.0
-3.6377 3.2487 2.9816
-5.5628 -7.3399 1.2105
6.6927 1.8243 6.1778
Ga Mg
6 14
Direct
0.3722 0.8051 0.6102
0.3722 0.8051 0.1949
0.8722 0.1949 0.8051
0.3722 0.3898 0.1949
0.8722 0.1949 0.3898
0.8722 0.6102 0.8051
0.1734 0.4712 0.9423
0.6734 0.5288 0.4712
0.4002 0.1269 0.2539
0.1734 0.4712 0.5288
0.4002 0.7461 0.8731
0.5707 0.3333 0.6667
0.9002 0.8731 0.1269
0.1734 0.0577 0.5288
0.6734 0.9423 0.4712
0.4002 0.1269 0.8731
0.9002 0.8731 0.7461
0.0707 0.6667 0.3333
0.9002 0.2539 0.1269
0.6734 0.5288 0.0577
```

Output
Excess energy over the best structure of this formula in the dataset   28 kJ/mol of formula units
Total magnetic moment   0.000 Bohr magnetons per cell
Energy of formation from the pure elements   -73 meV/atom

[9]
ScTa2Cu | PBE | relaxed

Structure (POSCAR):
```
ScTa2Cu
1.0
-2.1633 -0.8650 -1.8339
2.1322 -3.5101 -0.8596
-2.6240 -2.6591 4.3495
Ta Sc Cu
2 1 1
Direct
0.0000 0.0000 0.0037
0.0000 0.0000 0.4963
0.5000 0.5000 0.7500
0.5000 0.5000 0.2500
```

Output
Excess energy over the best structure of this formula in the dataset   90 kJ/mol of formula units
Total magnetic moment   0.000 Bohr magnetons per cell
Energy of formation from the pure elements   300 meV/atom

[10]
Er4AlTe2 | PBE | relaxed

Structure (POSCAR):
```
Er4AlTe2
1.0
-1.7018 3.1586 2.0049
-2.2274 -5.9805 3.3188
11.4202 0.6007 8.7471
Er Te Al
8 4 2
Direct
0.0567 0.1134 0.2500
0.5000 0.0000 0.0000
0.7874 0.5749 0.3653
0.5000 0.0000 0.5000
0.9433 0.8866 0.7500
0.7874 0.5749 0.1347
0.2126 0.4251 0.6347
0.2126 0.4251 0.8653
0.1441 0.2883 0.4381
0.8559 0.7117 0.5619
0.1441 0.2883 0.0619
0.8559 0.7117 0.9381
0.5994 0.1988 0.7500
0.4006 0.8012 0.2500
```

Output
Total magnetic moment   0.000 Bohr magnetons per cell
Raw formation energy   -0.711 eV per atom

[11]
Pm7Dy2Er2 | PBE | relaxed

Structure (POSCAR):
```
Pm7Dy2Er2
1.0
5.3929 0.0000 -1.6461
-1.2272 7.0101 -4.0206
-0.0724 0.6245 9.4199
Dy Pm Er
2 7 2
Direct
0.2991 0.9207 0.5982
0.7009 0.3225 0.4018
0.8669 0.1927 0.7338
0.6632 0.7863 0.3265
0.8650 0.7826 0.7300
0.3368 0.4599 0.6735
0.5000 0.9199 0.0000
0.1331 0.4589 0.2662
0.1350 0.0527 0.2700
0.0000 0.6217 0.0000
0.5000 0.3360 0.0000
```

Output
Excess energy over the best structure of this formula in the dataset   0 kJ/mol of formula units
Total magnetic moment   0.000 Bohr magnetons per cell
Energy of formation from the pure elements   112 meV/atom

[12]
Tl2CdSe2 | PBE | relaxed

Structure (POSCAR):
```
Tl2CdSe2
1.0
-3.9039 1.6208 0.1063
-1.5775 -3.7177 -1.2524
-3.5075 -3.4202 7.4327
Tl Cd Se
2 1 2
Direct
0.3895 0.3895 0.2210
0.6105 0.6105 0.7790
0.0000 0.0000 0.0000
0.7500 0.2500 0.5000
0.2500 0.7500 0.5000
```

Output
Excess energy over the best structure of this formula in the dataset   203 kJ/mol of formula units
Total magnetic moment   0.000 Bohr magnetons per cell
Raw formation energy   -0.018 eV per atom

[13]
NaCo2Mo2 | PBE | relaxed

Structure (POSCAR):
```
NaCo2Mo2
1.0
7.4837 0.0000 0.0000
0.0000 7.4837 0.0000
0.0000 0.0000 2.6347
Na Co Mo
2 4 4
Direct
0.5000 0.5000 0.0000
0.0000 0.0000 0.0000
0.8694 0.6306 0.0000
0.3694 0.8694 0.0000
0.1306 0.3694 0.0000
0.6306 0.1306 0.0000
0.8428 0.3428 0.5000
0.3428 0.1572 0.5000
0.1572 0.6572 0.5000
0.6572 0.8428 0.5000
```

Output
Excess energy over the best structure of this formula in the dataset   10 kJ/mol of formula units
Total magnetic moment   0.000 Bohr magnetons per cell
Energy of formation from the pure elements   382 meV/atom

[14]
ScSiPdI2 | PBE | relaxed

Structure (POSCAR):
```
ScSiPdI2
1.0
5.3735 0.0000 0.0000
0.0000 5.1701 0.0000
0.0000 0.0000 5.3735
I Si Pd Sc
2 1 1 1
Direct
0.0000 0.0000 0.5000
0.5000 0.0000 0.0000
0.5000 0.5000 0.5000
0.0000 0.0000 0.0000
0.0000 0.5000 0.0000
```

Output
Total magnetic moment   0.001 Bohr magnetons per cell
Raw formation energy   0.484 eV per atom

[15]
LiBi2Pd | PBE | relaxed

Structure (POSCAR):
```
LiBi2Pd
1.0
-0.8565 -2.0559 3.1504
4.4563 0.6772 1.6535
-1.4341 4.0058 2.2243
Pd Bi Li
1 2 1
Direct
0.5000 0.5000 0.5000
0.0000 0.0000 0.5000
0.0000 0.5000 0.0000
0.5000 0.0000 0.0000
```

Output
Excess energy over the best structure of this formula in the dataset   18 kJ/mol of formula units
Total magnetic moment   0.000 Bohr magnetons per cell
Energy of formation from the pure elements   -305 meV/atom

[16]
Nd4Ga12Os | PBE | relaxed

Structure (POSCAR):
```
Nd4Ga12Os
1.0
-4.4599 5.5143 2.7599
0.6903 0.8279 -7.5335
-3.1026 -6.7777 1.5334
Ga Nd Os
12 4 1
Direct
0.2500 0.7500 0.5000
0.0000 0.2897 0.2897
0.5000 0.7500 0.2500
0.5000 0.2500 0.7500
0.7103 0.7103 0.0000
0.0000 0.7103 0.7103
0.7500 0.2500 0.5000
0.2897 0.2897 0.0000
0.2500 0.5000 0.7500
0.7103 0.0000 0.7103
0.7500 0.5000 0.2500
0.2897 0.0000 0.2897
0.5000 0.5000 0.5000
0.0000 0.0000 0.5000
0.5000 0.0000 0.0000
0.0000 0.5000 0.0000
0.0000 0.0000 0.0000
```

Output
Total magnetic moment   0.000 Bohr magnetons per cell
Energy of formation from the pure elements   -544 meV/atom

[17]
LiBiPbAu | PBE | relaxed

Structure (POSCAR):
```
LiBiPbAu
1.0
4.5354 0.0000 0.0000
2.2677 3.9278 0.0000
2.2677 1.3093 5.5889
Bi Au Pb Li
1 1 1 1
Direct
0.0291 0.0291 0.9127
0.6068 0.6068 0.1796
0.8282 0.8282 0.5154
0.2618 0.2618 0.2147
```

Output
Total magnetic moment   0.000 Bohr magnetons per cell
Energy of formation from the pure elements   -208 meV/atom

[18]
Si2MoAs | PBE | relaxed

Structure (POSCAR):
```
Si2MoAs
1.0
-0.3034 1.9241 2.5741
1.1096 -3.2565 2.5650
4.1899 1.1434 -0.3608
Si Mo As
2 1 1
Direct
0.5000 0.5000 0.0000
0.0000 0.0000 0.0000
0.0000 0.5000 0.5000
0.5000 0.0000 0.5000
```

Output
Total magnetic moment   0.000 Bohr magnetons per cell
Raw formation energy   0.384 eV per atom